(1)
# PrNd2OsO8

A relaxed PrNd2OsO8 crystal (PBE, Alexandria via LeMat-Bulk).

Summary:
E_form (uncorrected) = -2.40 eV per atom
V = 16.001 A^3/atom
total magnetic moment = 1.05 μB/f.u.
E_tot = -7.83 eV/atom
SG = P2/m

Cell: 5.2165 7.0561 5.2166 Å, 90.00 90.38 90.00°
Positions (direct):
1 Pr 0.0000 0.0000 0.0000
2 Nd 0.5000 0.2507 0.5000
3 Nd 0.5000 0.7493 0.5000
4 Os 0.0000 0.5000 0.0000
5 O 0.1806 0.2988 0.1792
6 O 0.1806 0.7012 0.1792
7 O 0.2512 0.5000 0.7471
8 O 0.3112 0.0000 0.6874
9 O 0.6888 0.0000 0.3126
10 O 0.7488 0.5000 0.2529
11 O 0.8194 0.2988 0.8208
12 O 0.8194 0.7012 0.8208

(2)
# Rb2NdOs3O12

A relaxed Rb2NdOs3O12 crystal (PBE, Alexandria via LeMat-Bulk).

Summary:
E_form (uncorrected) = -1.46 eV per atom
V = 16.391 A^3/atom
total magnetic moment = 2.02 μB/f.u.
E_tot = -7.01 eV/atom
SG = R-3m

Cell: 7.5778 7.5778 7.5778 Å, 58.21 58.21 58.21°
Positions (direct):
1 Rb 0.1201 0.1201 0.1201
2 Rb 0.8799 0.8799 0.8799
3 Nd 0.5000 0.5000 0.5000
4 Os 0.0000 0.5000 0.5000
5 Os 0.5000 0.0000 0.5000
6 Os 0.5000 0.5000 0.0000
7 O 0.1211 0.5887 0.5887
8 O 0.2021 0.2021 0.5797
9 O 0.2021 0.5797 0.2021
10 O 0.4113 0.4113 0.8789
11 O 0.4113 0.8789 0.4113
12 O 0.4203 0.7979 0.7979
13 O 0.5797 0.2021 0.2021
14 O 0.5887 0.1211 0.5887
15 O 0.5887 0.5887 0.1211
16 O 0.7979 0.4203 0.7979
17 O 0.7979 0.7979 0.4203
18 O 0.8789 0.4113 0.4113

(3)
# Rb3Nd3OsO8

A relaxed Rb3Nd3OsO8 crystal (PBE, Alexandria via LeMat-Bulk).

Summary:
E_form (uncorrected) = -2.16 eV per atom
V = 19.057 A^3/atom
total magnetic moment = 2.00 μB/f.u.
E_tot = -6.70 eV/atom
SG = R-3m

Cell: 7.7592 7.7592 7.7592 Å, 54.23 54.23 54.23°
Positions (direct):
1 Rb 0.0000 0.5000 0.5000
2 Rb 0.5000 0.0000 0.5000
3 Rb 0.5000 0.5000 0.0000
4 Nd 0.0000 0.0000 0.5000
5 Nd 0.0000 0.5000 0.0000
6 Nd 0.5000 0.0000 0.0000
7 Os 0.5000 0.5000 0.5000
8 O 0.2272 0.2272 0.2272
9 O 0.2576 0.7033 0.7033
10 O 0.2967 0.2967 0.7424
11 O 0.2967 0.7424 0.2967
12 O 0.7033 0.2576 0.7033
13 O 0.7033 0.7033 0.2576
14 O 0.7424 0.2967 0.2967
15 O 0.7728 0.7728 0.7728

(4)
# RbNd2OsO8

A relaxed RbNd2OsO8 crystal (PBE, Alexandria via LeMat-Bulk).

Summary:
E_form (uncorrected) = -1.93 eV per atom
V = 13.600 A^3/atom
total magnetic moment = 0.00 μB/f.u.
E_tot = -7.05 eV/atom
SG = P-1

Cell: 4.2564 5.4227 7.3687 Å, 90.04 106.35 90.04°
Positions (direct):
1 Rb 0.0000 0.0000 0.0000
2 Nd 0.3716 0.4989 0.7065
3 Nd 0.6284 0.5011 0.2935
4 Os 0.0000 0.0000 0.5000
5 O 0.1741 0.5001 0.9979
6 O 0.1903 0.2640 0.3911
7 O 0.1908 0.7316 0.3943
8 O 0.3472 0.0032 0.7208
9 O 0.6528 0.9968 0.2792
10 O 0.8092 0.2684 0.6057
11 O 0.8097 0.7360 0.6089
12 O 0.8259 0.4999 0.0021

(5)
# RbNdOsO6

A relaxed RbNdOsO6 crystal (PBE, Alexandria via LeMat-Bulk).

Summary:
E_form (uncorrected) = -1.73 eV per atom
V = 19.607 A^3/atom
total magnetic moment = 0.00 μB/f.u.
E_tot = -6.92 eV/atom
SG = P312

Cell: 5.8001 5.8001 6.0570 Å, 90.00 90.00 120.00°
Positions (direct):
1 Rb 0.0000 0.0000 0.0000
2 Nd 0.6667 0.3333 0.5000
3 Os 0.3333 0.6667 0.5000
4 O 0.0592 0.4132 0.3206
5 O 0.0592 0.6460 0.6794
6 O 0.3540 0.4132 0.6794
7 O 0.3540 0.9408 0.3206
8 O 0.5868 0.6460 0.3206
9 O 0.5868 0.9408 0.6794

(6)
# RbNdOs2O8

A relaxed RbNdOs2O8 crystal (PBE, Alexandria via LeMat-Bulk).

Summary:
E_form (uncorrected) = -1.52 eV per atom
V = 21.818 A^3/atom
total magnetic moment = 4.03 μB/f.u.
E_tot = -7.18 eV/atom
SG = P-3

Cell: 6.1036 6.1036 8.1153 Å, 90.00 90.00 120.00°
Positions (direct):
1 Rb 0.0000 0.0000 0.0000
2 Nd 0.0000 0.0000 0.5000
3 Os 0.3333 0.6667 0.7625
4 Os 0.6667 0.3333 0.2375
5 O 0.1674 0.3445 0.6830
6 O 0.1771 0.8326 0.6830
7 O 0.3333 0.6667 0.9803
8 O 0.3445 0.1771 0.3170
9 O 0.6555 0.8229 0.6830
10 O 0.6667 0.3333 0.0197
11 O 0.8229 0.1674 0.3170
12 O 0.8326 0.6555 0.3170

(7)
# NdScOsO6

A relaxed NdScOsO6 crystal (PBE, Alexandria via LeMat-Bulk).

Summary:
E_form (uncorrected) = -2.35 eV per atom
V = 13.826 A^3/atom
total magnetic moment = 2.01 μB/f.u.
E_tot = -8.14 eV/atom
SG = P-31c

Cell: 5.3229 5.3229 10.1424 Å, 90.00 90.00 120.00°
Positions (direct):
1 Nd 0.0000 0.0000 0.0000
2 Nd 0.0000 0.0000 0.5000
3 Sc 0.3333 0.6667 0.2500
4 Sc 0.6667 0.3333 0.7500
5 Os 0.3333 0.6667 0.7500
6 Os 0.6667 0.3333 0.2500
7 O 0.0239 0.3725 0.6421
8 O 0.0239 0.6514 0.8579
9 O 0.3486 0.3725 0.8579
10 O 0.3486 0.9761 0.6421
11 O 0.3725 0.0239 0.1421
12 O 0.3725 0.3486 0.3579
13 O 0.6275 0.6514 0.6421
14 O 0.6275 0.9761 0.8579
15 O 0.6514 0.0239 0.3579
16 O 0.6514 0.6275 0.1421
17 O 0.9761 0.3486 0.1421
18 O 0.9761 0.6275 0.3579

(8)
# NdSc2OsO8

A relaxed NdSc2OsO8 crystal (PBE, Alexandria via LeMat-Bulk).

Summary:
E_form (uncorrected) = -2.46 eV per atom
V = 13.376 A^3/atom
total magnetic moment = 1.04 μB/f.u.
E_tot = -8.15 eV/atom
SG = Cmmm

Cell: 4.9058 4.9058 6.6728 Å, 90.00 90.00 91.81°
Positions (direct):
1 Nd 0.0000 0.0000 0.0000
2 Sc 0.5000 0.5000 0.2383
3 Sc 0.5000 0.5000 0.7617
4 Os 0.0000 0.0000 0.5000
5 O 0.1979 0.1979 0.2942
6 O 0.1979 0.1979 0.7058
7 O 0.2664 0.7336 0.5000
8 O 0.3232 0.6768 0.0000
9 O 0.6768 0.3232 0.0000
10 O 0.7336 0.2664 0.5000
11 O 0.8021 0.8021 0.2942
12 O 0.8021 0.8021 0.7058

(9)
# NdSm2OsO8

A relaxed NdSm2OsO8 crystal (PBE, Alexandria via LeMat-Bulk).

Summary:
E_form (uncorrected) = -2.44 eV per atom
V = 15.497 A^3/atom
total magnetic moment = 1.05 μB/f.u.
E_tot = -7.86 eV/atom
SG = Cmmm

Cell: 5.1616 5.1616 6.9803 Å, 90.00 90.00 90.30°
Positions (direct):
1 Nd 0.0000 0.0000 0.0000
2 Sm 0.5000 0.5000 0.2495
3 Sm 0.5000 0.5000 0.7505
4 Os 0.0000 0.0000 0.5000
5 O 0.1816 0.1816 0.2973
6 O 0.1816 0.1816 0.7027
7 O 0.2556 0.7444 0.5000
8 O 0.3122 0.6878 0.0000
9 O 0.6878 0.3122 0.0000
10 O 0.7444 0.2556 0.5000
11 O 0.8184 0.8184 0.2973
12 O 0.8184 0.8184 0.7027

(10)
# Nd2SmOsO8

A relaxed Nd2SmOsO8 crystal (PBE, Alexandria via LeMat-Bulk).

Summary:
E_form (uncorrected) = -2.42 eV per atom
V = 15.728 A^3/atom
total magnetic moment = 1.05 μB/f.u.
E_tot = -7.85 eV/atom
SG = P2/m

Cell: 5.1948 6.9910 5.1970 Å, 90.00 90.07 90.00°
Positions (direct):
1 Nd 0.0000 0.2501 0.0000
2 Nd 0.0000 0.7499 0.0000
3 Sm 0.5000 0.0000 0.5000
4 Os 0.5000 0.5000 0.5000
5 O 0.1932 0.0000 0.1919
6 O 0.2471 0.5000 0.2457
7 O 0.3209 0.2952 0.6779
8 O 0.3209 0.7048 0.6779
9 O 0.6791 0.2952 0.3221
10 O 0.6791 0.7048 0.3221
11 O 0.7529 0.5000 0.7543
12 O 0.8068 0.0000 0.8081

(11)
# SrNdOsO6

A relaxed SrNdOsO6 crystal (PBE, Alexandria via LeMat-Bulk).

Summary:
E_form (uncorrected) = -2.08 eV per atom
V = 16.027 A^3/atom
total magnetic moment = 1.04 μB/f.u.
E_tot = -7.35 eV/atom
SG = P-31c

Cell: 5.7408 5.7408 10.1079 Å, 90.00 90.00 120.00°
Positions (direct):
1 Sr 0.0000 0.0000 0.0000
2 Sr 0.0000 0.0000 0.5000
3 Nd 0.3333 0.6667 0.2500
4 Nd 0.6667 0.3333 0.7500
5 Os 0.3333 0.6667 0.7500
6 Os 0.6667 0.3333 0.2500
7 O 0.0574 0.3934 0.6429
8 O 0.0574 0.6639 0.8571
9 O 0.3361 0.3934 0.8571
10 O 0.3361 0.9426 0.6429
11 O 0.3934 0.0574 0.1429
12 O 0.3934 0.3361 0.3571
13 O 0.6066 0.6639 0.6429
14 O 0.6066 0.9426 0.8571
15 O 0.6639 0.0574 0.3571
16 O 0.6639 0.6066 0.1429
17 O 0.9426 0.3361 0.1429
18 O 0.9426 0.6066 0.3571

(12)
# Tb2NdOsO8

A relaxed Tb2NdOsO8 crystal (PBE, Alexandria via LeMat-Bulk).

Summary:
E_form (uncorrected) = -2.49 eV per atom
V = 14.944 A^3/atom
total magnetic moment = 1.04 μB/f.u.
E_tot = -7.90 eV/atom
SG = P2/m

Cell: 5.0954 6.9061 5.0964 Å, 90.00 90.43 90.00°
Positions (direct):
1 Tb 0.0000 0.2480 0.0000
2 Tb 0.0000 0.7520 0.0000
3 Nd 0.5000 0.0000 0.5000
4 Os 0.5000 0.5000 0.5000
5 O 0.1858 0.0000 0.8156
6 O 0.2407 0.5000 0.7606
7 O 0.3146 0.2970 0.3158
8 O 0.3146 0.7030 0.3158
9 O 0.6854 0.2970 0.6842
10 O 0.6854 0.7030 0.6842
11 O 0.7593 0.5000 0.2394
12 O 0.8142 0.0000 0.1844

(13)
# TbNdOsO6

A relaxed TbNdOsO6 crystal (PBE, Alexandria via LeMat-Bulk).

Summary:
E_form (uncorrected) = -2.33 eV per atom
V = 14.674 A^3/atom
total magnetic moment = 2.01 μB/f.u.
E_tot = -7.93 eV/atom
SG = P-31c

Cell: 5.5561 5.5561 9.8799 Å, 90.00 90.00 120.00°
Positions (direct):
1 Tb 0.3333 0.6667 0.2500
2 Tb 0.6667 0.3333 0.7500
3 Nd 0.0000 0.0000 0.0000
4 Nd 0.0000 0.0000 0.5000
5 Os 0.3333 0.6667 0.7500
6 Os 0.6667 0.3333 0.2500
7 O 0.0446 0.3768 0.6384
8 O 0.0446 0.6678 0.8616
9 O 0.3322 0.3768 0.8616
10 O 0.3322 0.9554 0.6384
11 O 0.3768 0.0446 0.1384
12 O 0.3768 0.3322 0.3616
13 O 0.6232 0.6678 0.6384
14 O 0.6232 0.9554 0.8616
15 O 0.6678 0.0446 0.3616
16 O 0.6678 0.6232 0.1384
17 O 0.9554 0.3322 0.1384
18 O 0.9554 0.6232 0.3616

(14)
# NdTl2OsO6

A relaxed NdTl2OsO6 crystal (PBE, Alexandria via LeMat-Bulk).

Summary:
E_form (uncorrected) = -1.37 eV per atom
V = 21.428 A^3/atom
total magnetic moment = 1.02 μB/f.u.
E_tot = -6.42 eV/atom
SG = P-3m1

Cell: 6.4234 6.4234 5.9967 Å, 90.00 90.00 120.00°
Positions (direct):
1 Nd 0.0000 0.0000 0.0000
2 Tl 0.3333 0.6667 0.5376
3 Tl 0.6667 0.3333 0.4624
4 Os 0.0000 0.0000 0.5000
5 O 0.1380 0.2760 0.3071
6 O 0.1380 0.8620 0.3071
7 O 0.2760 0.1380 0.6929
8 O 0.7240 0.8620 0.3071
9 O 0.8620 0.1380 0.6929
10 O 0.8620 0.7240 0.6929

(15)
# NdTl2OsO8

A relaxed NdTl2OsO8 crystal (PBE, Alexandria via LeMat-Bulk).

Summary:
E_form (uncorrected) = -1.24 eV per atom
V = 15.048 A^3/atom
total magnetic moment = 0.00 μB/f.u.
E_tot = -6.27 eV/atom
SG = P-1

Cell: 5.1307 5.1396 6.8545 Å, 88.25 88.21 89.93°
Positions (direct):
1 Nd 0.0000 0.0000 0.0000
2 Tl 0.4792 0.4801 0.2513
3 Tl 0.5208 0.5199 0.7487
4 Os 0.0000 0.0000 0.5000
5 O 0.1756 0.8181 0.7027
6 O 0.1883 0.8306 0.2968
7 O 0.2588 0.2663 0.5002
8 O 0.3072 0.3154 0.9845
9 O 0.6928 0.6846 0.0155
10 O 0.7412 0.7337 0.4998
11 O 0.8117 0.1694 0.7032
12 O 0.8244 0.1819 0.2973

(16)
# NdTlOsO6

A relaxed NdTlOsO6 crystal (PBE, Alexandria via LeMat-Bulk).

Summary:
E_form (uncorrected) = -1.52 eV per atom
V = 18.078 A^3/atom
total magnetic moment = 0.00 μB/f.u.
E_tot = -6.87 eV/atom
SG = P312

Cell: 5.8075 5.8075 5.5705 Å, 90.00 90.00 120.00°
Positions (direct):
1 Nd 0.0000 0.0000 0.0000
2 Tl 0.6667 0.3333 0.5000
3 Os 0.3333 0.6667 0.0000
4 O 0.0801 0.3916 0.1952
5 O 0.0801 0.6885 0.8048
6 O 0.3115 0.3916 0.8048
7 O 0.3115 0.9199 0.1952
8 O 0.6084 0.6885 0.1952
9 O 0.6084 0.9199 0.8048

(17)
# Nd2TlOsO8

A relaxed Nd2TlOsO8 crystal (PBE, Alexandria via LeMat-Bulk).

Summary:
E_form (uncorrected) = -1.87 eV per atom
V = 14.652 A^3/atom
total magnetic moment = 1.04 μB/f.u.
E_tot = -7.11 eV/atom
SG = P-1

Cell: 4.8380 4.8780 7.4763 Å, 91.93 91.94 93.88°
Positions (direct):
1 Nd 0.0577 0.0540 0.2576
2 Nd 0.9423 0.9460 0.7424
3 Tl 0.5000 0.5000 0.0000
4 Os 0.5000 0.5000 0.5000
5 O 0.1960 0.1965 0.9760
6 O 0.2238 0.2306 0.5448
7 O 0.2705 0.6325 0.3086
8 O 0.3683 0.7343 0.6890
9 O 0.6317 0.2657 0.3110
10 O 0.7295 0.3675 0.6914
11 O 0.7762 0.7694 0.4552
12 O 0.8040 0.8035 0.0240

(18)
# NdTmOsO6

A relaxed NdTmOsO6 crystal (PBE, Alexandria via LeMat-Bulk).

Summary:
E_form (uncorrected) = -2.37 eV per atom
V = 14.418 A^3/atom
total magnetic moment = 2.01 μB/f.u.
E_tot = -7.95 eV/atom
SG = P-31c

Cell: 5.4774 5.4774 9.9888 Å, 90.00 90.00 120.00°
Positions (direct):
1 Nd 0.0000 0.0000 0.0000
2 Nd 0.0000 0.0000 0.5000
3 Tm 0.3333 0.6667 0.2500
4 Tm 0.6667 0.3333 0.7500
5 Os 0.3333 0.6667 0.7500
6 Os 0.6667 0.3333 0.2500
7 O 0.0377 0.3752 0.6398
8 O 0.0377 0.6625 0.8602
9 O 0.3375 0.3752 0.8602
10 O 0.3375 0.9623 0.6398
11 O 0.3752 0.0377 0.1398
12 O 0.3752 0.3375 0.3602
13 O 0.6248 0.6625 0.6398
14 O 0.6248 0.9623 0.8602
15 O 0.6625 0.0377 0.3602
16 O 0.6625 0.6248 0.1398
17 O 0.9623 0.3375 0.1398
18 O 0.9623 0.6248 0.3602

(19)
# Nd2TmOsO8

A relaxed Nd2TmOsO8 crystal (PBE, Alexandria via LeMat-Bulk).

Summary:
E_form (uncorrected) = -2.44 eV per atom
V = 15.250 A^3/atom
total magnetic moment = 1.03 μB/f.u.
E_tot = -7.85 eV/atom
SG = P2/m

Cell: 5.1565 6.8772 5.1608 Å, 90.00 90.80 90.00°
Positions (direct):
1 Nd 0.0000 0.2487 0.0000
2 Nd 0.0000 0.7513 0.0000
3 Tm 0.5000 0.0000 0.5000
4 Os 0.5000 0.5000 0.5000
5 O 0.2010 0.0000 0.2018
6 O 0.2428 0.5000 0.2445
7 O 0.3244 0.2883 0.6761
8 O 0.3244 0.7117 0.6761
9 O 0.6756 0.2883 0.3239
10 O 0.6756 0.7117 0.3239
11 O 0.7572 0.5000 0.7555
12 O 0.7990 0.0000 0.7982